Density functional theory data (PBE with a Hubbard U) for a geometry-optimized Sc2MnSbO6 structure.

Cell and atoms, written as CIF:
```
data_Sc2MnSbO6
_cell_length_a 5.4741
_cell_length_b 5.4741
_cell_length_c 14.4922
_cell_angle_alpha 90.00
_cell_angle_beta 90.00
_cell_angle_gamma 120.00
_symmetry_space_group_name_H-M 'R 3'
_symmetry_Int_Tables_number 146
_symmetry_space_group_name_Hall 'R 3'
loop_
_atom_site_label
_atom_site_fract_x
_atom_site_fract_y
_atom_site_fract_z
Sc1 0.0000 0.0000 0.0000
Sc2 0.0000 0.0000 0.4983
Mn1 0.0000 0.0000 0.2142
Sb1 0.0000 0.0000 0.7082
O1 0.0146 0.3069 0.1021
O2 0.0155 0.7172 0.6060
```

Results
The uncorrected energy is -7.828 eV/atom.